Here is a relaxed Sb2Pt crystal from the Alexandria database. Energies are from PBE.

Calculated values
The value obtained for the formation energy (no corrections) is -1.0 eV/f.u. The symmetry is No. 63. The total magnetic moment is 0.0 μB/f.u.

a = 7.7750 Å, b = 7.7750 Å, c = 5.2163 Å
α = 90.00°, β = 90.00°, γ = 149.51°
Fractional positions:
Sb1 0.5485 0.4515 0.2500
Sb2 0.4515 0.5485 0.7500
Sb3 0.7852 0.2148 0.2500
Sb4 0.2148 0.7852 0.7500
Pt1 0.1615 0.8385 0.2500
Pt2 0.8385 0.1615 0.7500

---

Here is a relaxed SbPt crystal from the Alexandria database. Energies are from PBE.

Calculated values
The value obtained for the formation energy (no corrections) is -0.7 eV/f.u. The symmetry is No. 44. The total magnetic moment is 0.0 μB/f.u.

a = 12.2816 Å, b = 3.8343 Å, c = 5.9245 Å
α = 90.00°, β = 90.00°, γ = 90.00°
Fractional positions:
Sb1 0.3128 0.0000 0.3069
Sb2 0.6872 0.0000 0.3069
Sb3 0.8128 0.5000 0.8069
Sb4 0.1872 0.5000 0.8069
Sb5 0.0000 0.0000 0.2794
Sb6 0.5000 0.5000 0.7794
Pt1 0.3365 0.0000 0.7538
Pt2 0.6635 0.0000 0.7538
Pt3 0.8365 0.5000 0.2538
Pt4 0.1635 0.5000 0.2538
Pt5 0.0000 0.5000 0.6012
Pt6 0.5000 0.0000 0.1012

---

Q: Which formula does entry 2 have?
A: SbPt